The following is a DFT calculation (GGA-PBE) of a relaxed structure of Co3TcN.

Energy above the most stable polymorph in this dataset in meV/atom: 0.0
Total energy in eV/atom: -7.758
E_form (uncorrected) in eV/atom: 0.2438

extended XYZ file:
```
5
Lattice="3.791 0.000 0.000 0.000 3.791 0.000 0.000 0.000 3.791" Properties=species:S:1:pos:R:3 pbc="T T T"
Co 0.000 1.895 0.000
Co 0.000 0.000 1.895
Co 1.895 0.000 0.000
Tc 1.895 1.895 1.895
N 0.000 0.000 0.000
```